# CaLaAg PBE optimized geometry
data_CaLaAg
_symmetry_space_group_name_H-M 'C 1 2/c 1'
_symmetry_Int_Tables_number 15
_symmetry_space_group_name_Hall '-C 2yc'
_cell_length_a 10.2043
_cell_length_b 10.6753
_cell_length_c 9.0354
_cell_angle_alpha 90.00
_cell_angle_beta 124.31
_cell_angle_gamma 90.00
loop_
_atom_site_label
_atom_site_type_symbol
_atom_site_fract_x
_atom_site_fract_y
_atom_site_fract_z
_atom_site_occupancy
Ca1 Ca 0.1215 0.1249 0.4925 1
La1 La 0.1256 0.3747 0.0013 1
Ag1 Ag 0.0000 0.1298 0.7500 1
Ag2 Ag 0.0000 0.3800 0.2500 1
# DOS at the Fermi energy ... 3.87 states/eV/f.u.
# E_form ... -4 kJ/mol of atoms
# Excess energy over the best structure of this formula in the dataset ... 109.9 meV per atom



# AcPr12Mg3 PBE optimized geometry
data_AcPr12Mg3
_symmetry_space_group_name_H-M 'P 4/m m m'
_symmetry_Int_Tables_number 123
_symmetry_space_group_name_Hall '-P 4 2'
_cell_length_a 5.1399
_cell_length_b 5.1399
_cell_length_c 20.6533
_cell_angle_alpha 90.00
_cell_angle_beta 90.00
_cell_angle_gamma 90.00
loop_
_atom_site_label
_atom_site_type_symbol
_atom_site_fract_x
_atom_site_fract_y
_atom_site_fract_z
_atom_site_occupancy
Ac1 Ac 0.0000 0.0000 0.0000 1
Pr1 Pr 0.0000 0.5000 0.1330 1
Pr2 Pr 0.0000 0.5000 0.3782 1
Pr3 Pr 0.5000 0.5000 0.0000 1
Pr4 Pr 0.5000 0.5000 0.2571 1
Pr5 Pr 0.5000 0.5000 0.5000 1
Mg1 Mg 0.0000 0.0000 0.2571 1
Mg2 Mg 0.0000 0.0000 0.5000 1
# DOS at the Fermi energy ... 26.63 states/eV/f.u.
# E_form ... 1 kJ/mol of atoms



# BaLaEu2 PBE optimized geometry
data_BaLaEu2
_symmetry_space_group_name_H-M 'F m -3 m'
_symmetry_Int_Tables_number 225
_symmetry_space_group_name_Hall '-F 4 2 3'
_cell_length_a 8.9535
_cell_length_b 8.9535
_cell_length_c 8.9535
_cell_angle_alpha 90.00
_cell_angle_beta 90.00
_cell_angle_gamma 90.00
loop_
_atom_site_label
_atom_site_type_symbol
_atom_site_fract_x
_atom_site_fract_y
_atom_site_fract_z
_atom_site_occupancy
Ba1 Ba 0.0000 0.0000 0.0000 1
La1 La 0.0000 0.0000 0.5000 1
Eu1 Eu 0.2500 0.2500 0.2500 1
# DOS at the Fermi energy ... 19.05 states/eV/f.u.
# E_form ... 12 kJ/mol of atoms
# Excess energy over the best structure of this formula in the dataset ... 49.0 meV per atom



# PaBe3 PBE optimized geometry
data_PaBe3
_symmetry_space_group_name_H-M 'P m m 2'
_symmetry_Int_Tables_number 25
_symmetry_space_group_name_Hall 'P 2 -2'
_cell_length_a 2.9650
_cell_length_b 3.6192
_cell_length_c 5.2714
_cell_angle_alpha 90.00
_cell_angle_beta 90.00
_cell_angle_gamma 90.00
loop_
_atom_site_label
_atom_site_type_symbol
_atom_site_fract_x
_atom_site_fract_y
_atom_site_fract_z
_atom_site_occupancy
Pa1 Pa 0.0000 0.0000 0.0000 1
Be1 Be 0.0000 0.5000 0.5263 1
Be2 Be 0.5000 0.0000 0.4887 1
Be3 Be 0.5000 0.5000 0.2487 1
# DOS at the Fermi energy ... 3.82 states/eV/f.u.
# E_form ... 33 kJ/mol of atoms
# Excess energy over the best structure of this formula in the dataset ... 0.0 meV per atom



# LiB2C2 PBE optimized geometry
data_LiB2C2
_symmetry_space_group_name_H-M 'P 1 2/m 1'
_symmetry_Int_Tables_number 10
_symmetry_space_group_name_Hall '-P 2y'
_cell_length_a 4.7653
_cell_length_b 2.7531
_cell_length_c 12.4992
_cell_angle_alpha 90.00
_cell_angle_beta 95.19
_cell_angle_gamma 90.00
loop_
_atom_site_label
_atom_site_type_symbol
_atom_site_fract_x
_atom_site_fract_y
_atom_site_fract_z
_atom_site_occupancy
Li1 Li 0.0000 0.0000 0.0000 1
Li2 Li 0.0531 0.0000 0.2691 1
Li3 Li 0.5000 0.5000 0.0000 1
B1 B 0.1352 0.5000 0.8600 1
B2 B 0.2318 0.5000 0.4320 1
B3 B 0.2739 0.0000 0.5674 1
B4 B 0.3734 0.0000 0.1461 1
C1 C 0.1027 0.5000 0.5656 1
C2 C 0.2029 0.5000 0.1451 1
C3 C 0.2981 0.0000 0.8612 1
C4 C 0.3969 0.0000 0.4312 1
# DOS at the Fermi energy ... 0.45 states/eV/f.u.
# E_form ... -7 kJ/mol of atoms
# Excess energy over the best structure of this formula in the dataset ... 1.9 meV per atom



# LiEr2MgTl4 PBE optimized geometry
data_LiEr2MgTl4
_symmetry_space_group_name_H-M 'R -3 m'
_symmetry_Int_Tables_number 166
_symmetry_space_group_name_Hall '-R 3 2"'
_cell_length_a 5.2065
_cell_length_b 5.2065
_cell_length_c 25.4524
_cell_angle_alpha 90.00
_cell_angle_beta 90.00
_cell_angle_gamma 120.00
loop_
_atom_site_label
_atom_site_type_symbol
_atom_site_fract_x
_atom_site_fract_y
_atom_site_fract_z
_atom_site_occupancy
Li1 Li 0.0000 0.0000 0.0000 1
Er1 Er 0.0000 0.0000 0.2486 1
Mg1 Mg 0.0000 0.0000 0.5000 1
Tl1 Tl 0.0000 0.0000 0.1225 1
Tl2 Tl 0.0000 0.0000 0.3727 1
# DOS at the Fermi energy ... 3.10 states/eV/f.u.
# E_form ... -24 kJ/mol of atoms